No. 1
# PBE-GGA SmErF6, optimized geometry
# energy relative to the elements, uncorrected = -4079 meV per atom
# total magnetic moment = 0.0 μB per formula unit
# energy = -106.289 eV per cell
data_SmErF6
_chemical_formula_sum 'Sm2 Er2 F12'
_cell_length_a 5.0260
_cell_length_b 7.3390
_cell_length_c 5.9952
_cell_angle_alpha 90.00
_cell_angle_beta 98.39
_cell_angle_gamma 90.00
_space_group_name_H-M_alt 'C 1 2 1'
_space_group_IT_number 5
_space_group_name_Hall 'C 2y'
loop_
_atom_site_label
_atom_site_type_symbol
_atom_site_fract_x
_atom_site_fract_y
_atom_site_fract_z
Sm1 Sm 0.0000 0.0000 0.0000
Er1 Er 0.0000 0.3195 0.5000
F1 F 0.2212 0.3936 0.2294
F2 F 0.2234 0.0609 0.3703
F3 F 0.2482 0.7435 0.1683



No. 2
# PBE-GGA Ca3Sn2Pb, optimized geometry
# total magnetic moment = 0.0 μB per formula unit
# formation energy from the elements = -0.5654 eV/atom
# energy = -21.111 eV per cell
# energy above the most stable polymorph in this dataset = 0 meV/atom
data_Ca3Sn2Pb
_chemical_formula_sum 'Ca3 Sn2 Pb1'
_cell_length_a 3.7522
_cell_length_b 3.7522
_cell_length_c 12.5454
_cell_angle_alpha 90.00
_cell_angle_beta 90.00
_cell_angle_gamma 90.00
_space_group_name_H-M_alt 'P 4/m m m'
_space_group_IT_number 123
_space_group_name_Hall '-P 4 2'
loop_
_atom_site_label
_atom_site_type_symbol
_atom_site_fract_x
_atom_site_fract_y
_atom_site_fract_z
Ca1 Ca 0.0000 0.0000 0.0000
Ca2 Ca 0.0000 0.0000 0.3282
Sn1 Sn 0.5000 0.5000 0.1653
Pb1 Pb 0.5000 0.5000 0.5000



No. 3
# PBE-GGA MgZr2Cd8, optimized geometry
# total magnetic moment = 0.0 μB per formula unit
# formation energy from the elements = -0.0541 eV/atom
# energy = -53.213 eV per cell
data_MgZr2Cd8
_chemical_formula_sum 'Mg2 Zr4 Cd16'
_cell_length_a 16.5873
_cell_length_b 4.3966
_cell_length_c 6.8668
_cell_angle_alpha 90.00
_cell_angle_beta 106.17
_cell_angle_gamma 90.00
_space_group_name_H-M_alt 'C 1 2/m 1'
_space_group_IT_number 12
_space_group_name_Hall '-C 2y'
loop_
_atom_site_label
_atom_site_type_symbol
_atom_site_fract_x
_atom_site_fract_y
_atom_site_fract_z
Mg1 Mg 0.0000 0.0000 0.0000
Zr1 Zr 0.2250 0.5000 0.6384
Cd1 Cd 0.0395 0.5000 0.7209
Cd2 Cd 0.0954 0.0000 0.4441
Cd3 Cd 0.1423 0.5000 0.1724
Cd4 Cd 0.1734 0.0000 0.8993



No. 4
# PBE-GGA Mg2VInN4, optimized geometry
# energy relative to the elements, uncorrected = -682 meV per atom
# total magnetic moment = 0.0 μB per formula unit
# energy = -107.605 eV per cell
data_Mg2VInN4
_chemical_formula_sum 'Mg4 V2 In2 N8'
_cell_length_a 6.7113
_cell_length_b 5.8465
_cell_length_c 5.3753
_cell_angle_alpha 90.00
_cell_angle_beta 90.00
_cell_angle_gamma 90.00
_space_group_name_H-M_alt 'P m n 21'
_space_group_IT_number 31
_space_group_name_Hall 'P 2ac -2'
loop_
_atom_site_label
_atom_site_type_symbol
_atom_site_fract_x
_atom_site_fract_y
_atom_site_fract_z
Mg1 Mg 0.2482 0.1679 0.0000
V1 V 0.0000 0.6735 0.0057
In1 In 0.0000 0.3447 0.5009
N1 N 0.0000 0.3721 0.9090
N2 N 0.0000 0.6848 0.3424
N3 N 0.2236 0.8240 0.8922



No. 5
# PBE-GGA FeCoN3, optimized geometry
# energy relative to the elements, uncorrected = 1677 meV per atom
# total magnetic moment = 0.0 μB per formula unit
# energy = -32.160 eV per cell
data_FeCoN3
_chemical_formula_sum 'Fe1 Co1 N3'
_cell_length_a 3.5740
_cell_length_b 3.5740
_cell_length_c 3.5740
_cell_angle_alpha 90.00
_cell_angle_beta 90.00
_cell_angle_gamma 90.00
_space_group_name_H-M_alt 'P m -3 m'
_space_group_IT_number 221
_space_group_name_Hall '-P 4 2 3'
loop_
_atom_site_label
_atom_site_type_symbol
_atom_site_fract_x
_atom_site_fract_y
_atom_site_fract_z
Fe1 Fe 0.0000 0.0000 0.0000
Co1 Co 0.5000 0.5000 0.5000
N1 N 0.0000 0.5000 0.5000



No. 6
# PBE-GGA AcDyTh2, optimized geometry
# total magnetic moment = 0.0 μB per formula unit
# formation energy from the elements = 0.1136 eV/atom
# energy = -69.288 eV per cell
# energy above the most stable polymorph in this dataset = 0 meV/atom
data_AcDyTh2
_chemical_formula_sum 'Ac3 Dy3 Th6'
_cell_length_a 3.6548
_cell_length_b 3.6548
_cell_length_c 35.9454
_cell_angle_alpha 90.00
_cell_angle_beta 90.00
_cell_angle_gamma 120.00
_space_group_name_H-M_alt 'R 3 m'
_space_group_IT_number 160
_space_group_name_Hall 'R 3 -2"'
loop_
_atom_site_label
_atom_site_type_symbol
_atom_site_fract_x
_atom_site_fract_y
_atom_site_fract_z
Ac1 Ac 0.0000 0.0000 0.0000
Dy1 Dy 0.0000 0.0000 0.1688
Th1 Th 0.0000 0.0000 0.5812
Th2 Th 0.0000 0.0000 0.7543



No. 7
# PBE-GGA PuNbAlTc, optimized geometry
# total magnetic moment = 4.6 μB per formula unit
# formation energy from the elements = -0.0861 eV/atom
# energy = -155.418 eV per cell
data_PuNbAlTc
_chemical_formula_sum 'Pu4 Nb4 Al4 Tc4'
_cell_length_a 6.5261
_cell_length_b 6.5261
_cell_length_c 6.5261
_cell_angle_alpha 90.00
_cell_angle_beta 90.00
_cell_angle_gamma 90.00
_space_group_name_H-M_alt 'F -4 3 m'
_space_group_IT_number 216
_space_group_name_Hall 'F -4 2 3'
loop_
_atom_site_label
_atom_site_type_symbol
_atom_site_fract_x
_atom_site_fract_y
_atom_site_fract_z
Pu1 Pu 0.0000 0.0000 0.0000
Nb1 Nb 0.2500 0.2500 0.2500
Al1 Al 0.0000 0.0000 0.5000
Tc1 Tc 0.2500 0.2500 0.7500



No. 8
# PBE-GGA Y2Sc2Be, optimized geometry
# total magnetic moment = 0.0 μB per formula unit
# formation energy from the elements = 0.2479 eV/atom
# energy = -56.155 eV per cell
data_Y2Sc2Be
_chemical_formula_sum 'Y4 Sc4 Be2'
_cell_length_a 7.0460
_cell_length_b 7.0460
_cell_length_c 5.1066
_cell_angle_alpha 90.00
_cell_angle_beta 90.00
_cell_angle_gamma 90.00
_space_group_name_H-M_alt 'P 4/m b m'
_space_group_IT_number 127
_space_group_name_Hall '-P 4 2ab'
loop_
_atom_site_label
_atom_site_type_symbol
_atom_site_fract_x
_atom_site_fract_y
_atom_site_fract_z
Y1 Y 0.1638 0.3362 0.0000
Sc1 Sc 0.1497 0.6497 0.5000
Be1 Be 0.0000 0.0000 0.5000



No. 9
# PBE-GGA PmTm2TlN, optimized geometry
# energy relative to the elements, uncorrected = -907 meV per atom
# total magnetic moment = 0.0 μB per formula unit
# energy = -28.922 eV per cell
data_PmTm2TlN
_chemical_formula_sum 'Pm1 Tm2 Tl1 N1'
_cell_length_a 4.7554
_cell_length_b 4.7554
_cell_length_c 4.9769
_cell_angle_alpha 90.00
_cell_angle_beta 90.00
_cell_angle_gamma 90.00
_space_group_name_H-M_alt 'P 4/m m m'
_space_group_IT_number 123
_space_group_name_Hall '-P 4 2'
loop_
_atom_site_label
_atom_site_type_symbol
_atom_site_fract_x
_atom_site_fract_y
_atom_site_fract_z
Pm1 Pm 0.0000 0.0000 0.0000
Tm1 Tm 0.0000 0.5000 0.5000
Tl1 Tl 0.5000 0.5000 0.0000
N1 N 0.0000 0.0000 0.5000



No. 10
# PBE-GGA Ho4Tl3Ag, optimized geometry
# total magnetic moment = 0.0 μB per formula unit
# formation energy from the elements = -0.2852 eV/atom
# energy = -30.543 eV per cell
# energy above the most stable polymorph in this dataset = 46 meV/atom
data_Ho4Tl3Ag
_chemical_formula_sum 'Ho4 Tl3 Ag1'
_cell_length_a 3.8017
_cell_length_b 4.8496
_cell_length_c 11.7459
_cell_angle_alpha 90.00
_cell_angle_beta 90.00
_cell_angle_gamma 90.00
_space_group_name_H-M_alt 'P m m 2'
_space_group_IT_number 25
_space_group_name_Hall 'P 2 -2'
loop_
_atom_site_label
_atom_site_type_symbol
_atom_site_fract_x
_atom_site_fract_y
_atom_site_fract_z
Ho1 Ho 0.0000 0.0000 0.0000
Ho2 Ho 0.0000 0.5000 0.2818
Ho3 Ho 0.5000 0.0000 0.4762
Ho4 Ho 0.5000 0.5000 0.7886
Tl1 Tl 0.0000 0.0000 0.7267
Tl2 Tl 0.0000 0.5000 0.5481
Tl3 Tl 0.5000 0.5000 0.0542
Ag1 Ag 0.5000 0.0000 0.2186